Compound: Pr2AlSn
Source: Alexandria via LeMat-Bulk
Functional: PBE
Structure: optimized geometry Values from VASP.

Computed properties:
Fermi-level density of states = 0.763 states/eV/atom
Formation enthalpy at 0 K = -496 meV per atom
Calculated volume = 111.5 Å³/cell

Geometry as Quantum ESPRESSO input:
```
&SYSTEM
  ibrav = 0, nat = 4, ntyp = 3
/
ATOMIC_SPECIES
Al 26.98 Al.upf
Pr 140.91 Pr.upf
Sn 118.71 Sn.upf
ATOMIC_POSITIONS crystal
Al 0.500 0.500 0.500
Pr 0.000 0.500 0.000
Sn 0.500 0.000 0.000
Pr 0.000 0.000 0.500
CELL_PARAMETERS angstrom
-1.286 -2.427 3.500
4.229 1.207 2.390
-2.254 4.018 1.958
```